Crystalline CaLa4Ga2Fe2O12 at its relaxed geometry, computed with PBE+U.

Output
The value obtained for the total magnetic moment is 2.0 μB per formula unit. For the density of states at the Fermi level, the calculation gives 0.00 states/eV/f.u. The total energy is -7.0522 eV/atom. As for the volume: 14.2 A^3/atom.

Unit cell a=6.3142 b=6.5030 c=7.2854 alpha=91.17 beta=93.50 gamma=90.44
Space group P1 (No. 1)
Inequivalent atoms, fractional coordinates:
Ca 0.0000 0.0000 0.0000 x1
La 0.4036 0.3585 0.5303 x1
La 0.4858 0.1721 0.0199 x1
La 0.6987 0.6546 0.0766 x1
La 0.8116 0.8775 0.5452 x1
Ga 0.2415 0.8190 0.3134 x1
Ga 0.9670 0.3722 0.7713 x1
Fe 0.3501 0.7604 0.7820 x1
Fe 0.8819 0.2876 0.3047 x1
O 0.0071 0.6396 0.3307 x1
O 0.0364 0.6539 0.7587 x1
O 0.1763 0.1569 0.7707 x1
O 0.1799 0.1115 0.3143 x1
O 0.3226 0.8215 0.0670 x1
O 0.4341 0.7527 0.5073 x1
O 0.5015 0.4756 0.8288 x1
O 0.5714 0.4122 0.2625 x1
O 0.6512 0.9176 0.8341 x1
O 0.7416 0.9937 0.2345 x1
O 0.7915 0.2628 0.5728 x1
O 0.8752 0.3227 0.0097 x1